No. 1
# Hf5BiS

A geometry-optimized Hf5BiS structure (PBE, Alexandria).

a b c (Å): 8.1180 8.8060 8.7706
angles (deg): 90.00 101.19 90.00
Space group C2/c (No. 15)
Inequivalent atoms, fractional coordinates:
1 Hf 0.0000 0.1244 0.2500 [4 per cell]
2 Hf 0.1325 0.2319 0.6407 [8 per cell]
3 Hf 0.2264 0.4082 0.0306 [8 per cell]
4 Bi 0.0000 0.4611 0.2500 [4 per cell]
5 S 0.0000 0.0000 0.0000 [4 per cell]

Final energy = -8.61 eV/atom

=====

No. 2
# Pm2Cd6Pb

A geometry-optimized Pm2Cd6Pb structure (PBE, Alexandria).

a b c (Å): 8.7840 8.7840 3.4901
angles (deg): 90.00 90.00 120.00
Space group P6/mmm (No. 191)
Inequivalent atoms, fractional coordinates:
1 Pm 0.3333 0.6667 0.0000 [2 per cell]
2 Cd 0.0000 0.3327 0.5000 [6 per cell]
3 Pb 0.0000 0.0000 0.0000 [1 per cell]

ΔE to the lowest computed polymorph = 0 kJ/mol of formula units
Formation energy from the elements = -2.03 eV/f.u.
Final energy = -2.30 eV/atom